DFT (GGA-PBE) results for ZnSn2Te2F2 after structural relaxation.

Lattice parameters (Å, degrees): 4.1079 4.1079 9.4906 90.00 90.00 90.00
Last column: nearest neighbours and their distance in Å.
Space group P-4m2 (No. 115)
Unique sites:
Zn1 0.0000 0.0000 0.0000  4 Te 2.66
Sn1 0.0000 0.5000 0.3457  4 F 2.52
Te1 0.0000 0.5000 0.8216  2 Zn 2.66
F1 0.0000 0.0000 0.5000  4 Sn 2.52
F2 0.5000 0.5000 0.5000  4 Sn 2.52

## Properties
calculated density	6.180	Mg/m³
electronic total energy	-26.8	eV/cell